BeAl2Cd (SCAN, PBEsol geometry); SG = C2/m (12); ΔH_f (0 K) = 0.3313 eV per atom; energy above the lowest structure with this stoichiometry = 30 kJ/mol of formula units; E_tot = -12.24 eV/atom
1.0
2.929 -0.025 0.000
-0.394 4.513 0.000
-1.268 -2.244 4.973
Be Al Cd
1 2 1
direct
0.500 0.500 0.000
0.000 0.000 0.500
0.500 0.500 0.500
0.000 0.000 0.000



KNa2Au (SCAN, PBEsol geometry); SG = I-42d (122); ΔH_f (0 K) = -0.0986 eV per atom; energy above the lowest structure with this stoichiometry = 29 kJ/mol of formula units; E_tot = -21.58 eV/atom
1.0
4.742 0.000 0.000
0.000 4.742 0.000
-2.371 -2.371 11.190
Na K Au
4 2 2
direct
0.921 0.375 0.250
0.329 0.875 0.250
0.625 0.671 0.750
0.125 0.079 0.750
0.750 0.250 0.500
0.500 0.500 0.000
0.250 0.750 0.500
0.000 0.000 0.000



MgAsPt2 (SCAN, PBEsol geometry); SG = P4mm (99); ΔH_f (0 K) = -0.5503 eV per atom; E_tot = -41.94 eV/atom
1.0
3.460 0.000 0.000
0.000 3.460 0.000
0.000 0.000 5.361
As Mg Pt
1 1 2
direct
0.000 0.000 0.455
0.500 0.500 0.779
0.000 0.000 0.980
0.500 0.500 0.286



Cr2TcB2 (SCAN, PBEsol geometry); SG = P4/mbm (127); ΔH_f (0 K) = -0.3380 eV per atom; E_tot = -17.68 eV/atom
1.0
2.872 0.000 0.000
0.000 5.700 0.000
0.000 0.000 5.700
Cr B Tc
4 4 2
direct
0.500 0.168 0.668
0.500 0.668 0.832
0.500 0.832 0.332
0.500 0.332 0.168
0.000 0.385 0.885
0.000 0.885 0.615
0.000 0.615 0.115
0.000 0.115 0.385
0.000 0.000 0.000
0.000 0.500 0.500